Here is crystalline TiVIO2 at its relaxed geometry from the Alexandria database. Energies are from GGA+U.

Values from the calculation:
Space group   P4/mmm, No. 123
Polymorph energy (0 for the lowest one)   0 meV per atom

Unit cell a=3.899 b=3.899 c=5.992 alpha=90.00 beta=90.00 gamma=90.00
Positions (direct):
Ti  0.000  0.000  0.000
V  0.500  0.500  0.500
I  0.000  0.000  0.500
O  0.000  0.500  0.000
O  0.500  0.000  0.000